No. 1
Computed, not measured: an optimized crystal structure of ScInRu at the GGA-PBE level of DFT.

The structure in extended XYZ format:
```
6
Lattice="-0.3257 1.2421 4.3998 -4.5674 0.0712 -0.3593 -2.6673 -5.3082 3.6833" Properties=species:S:1:pos:R:3 pbc="T T T"
Sc -4.3894 -2.9964 2.7056
Sc -2.2673 -2.4106 5.0865
In -4.2777 -0.0138 1.8748
In -2.1563 0.5717 4.2544
Ru -2.0473 -1.4852 2.4548
Ru -4.6081 -3.9216 5.3372
```

Values from the calculation:
ΔH_f (0 K), eV/atom: -0.17
Space-group type: No. 139

No. 2
Computed, not measured: an optimized crystal structure of Sc4In2Ru at the GGA-PBE level of DFT.

The structure in extended XYZ format:
```
7
Lattice="4.9832 0.0000 0.0000 0.0000 4.9832 0.0000 2.4916 2.4916 7.2490" Properties=species:S:1:pos:R:3 pbc="T T T"
Sc 2.4916 2.4916 4.7401
Sc 4.9832 4.9832 2.5089
Sc 0.0000 2.4916 0.0000
Sc 2.4916 0.0000 0.0000
Ru 0.0000 0.0000 0.0000
In 2.4916 2.4916 1.8169
In 4.9832 4.9832 5.4321
```

Values from the calculation:
ΔH_f (0 K), eV/atom: -0.12
Space-group type: No. 139

No. 3
Computed, not measured: an optimized crystal structure of Sc12In3Ru at the GGA-PBE level of DFT.

The structure in extended XYZ format:
```
16
Lattice="4.5257 0.0000 0.0000 0.0000 4.5257 0.0000 0.0000 0.0000 17.4314" Properties=species:S:1:pos:R:3 pbc="T T T"
Sc 2.2628 2.2628 0.0000
Sc 2.2628 2.2628 4.1841
Sc 2.2628 2.2628 8.7157
Sc 2.2628 2.2628 13.2473
Sc 2.2628 0.0000 1.8586
Sc 2.2628 0.0000 6.4495
Sc 2.2628 0.0000 10.9819
Sc 2.2628 0.0000 15.5729
Sc 0.0000 2.2628 1.8586
Sc 0.0000 2.2628 6.4495
Sc 0.0000 2.2628 10.9819
Sc 0.0000 2.2628 15.5729
In 0.0000 0.0000 4.2219
In 0.0000 0.0000 8.7157
In 0.0000 0.0000 13.2095
Ru 0.0000 0.0000 0.0000
```

Values from the calculation:
ΔH_f (0 K), eV/atom: -0.26
Space-group type: No. 123